(1)
This record from the Alexandria database describes a relaxed structure of CdCo2Pt. The functional is PBE.

Summary:
The value obtained for the density of states at the Fermi level is 3.70 states/eV/cell. The calculation puts the energy relative to the elements at 0.10 eV per atom. The calculation puts the raw total energy at -5.20 eV per atom.

Unit cell a=4.097 b=2.771 c=5.287 alpha=74.80 beta=90.00 gamma=90.00
Site moments in Bohr magnetons follow the coordinates.
Element x y z (fractional)
Cd 0.500 0.803 0.771  -0.03
Co 0.500 0.064 0.243  1.79
Co 0.000 0.180 0.019  1.68
Pt 0.000 0.453 0.466  0.25

***

(2)
This record from the Alexandria database describes a relaxed structure of CdCo2Pt. The functional is PBE.

Summary:
The value obtained for the density of states at the Fermi level is 5.51 states/eV/cell. The calculation puts the energy relative to the elements at 0.12 eV per atom. The calculation puts the raw total energy at -5.17 eV per atom.

Unit cell a=5.212 b=5.212 c=5.212 alpha=148.09 beta=128.80 gamma=61.61
Site moments in Bohr magnetons follow the coordinates.
Element x y z (fractional)
Co 0.973 0.973 0.000  1.82
Co 0.769 0.269 0.500  1.67
Cd 0.239 0.739 0.500  -0.03
Pt 0.519 0.519 0.000  0.22

***

(3)
This record from the Alexandria database describes a relaxed structure of CdCoPt6. The functional is PBE.

Summary:
The value obtained for the density of states at the Fermi level is 9.55 states/eV/cell. The calculation puts the energy relative to the elements at -0.13 eV per atom. The calculation puts the raw total energy at -5.66 eV per atom.

Unit cell a=3.964 b=3.964 c=7.950 alpha=90.00 beta=90.00 gamma=90.00
Site moments in Bohr magnetons follow the coordinates.
Element x y z (fractional)
Cd 0.000 0.000 0.000  -0.01
Pt 0.500 0.000 0.736  0.27
Pt 0.500 0.500 0.500  0.30
Pt 0.000 0.500 0.264  0.27
Co 0.000 0.000 0.500  2.13
Pt 0.000 0.500 0.736  0.27
Pt 0.500 0.000 0.264  0.27
Pt 0.500 0.500 0.000  0.17

***

(4)
This record from the Alexandria database describes a relaxed structure of Cd2CoPt. The functional is PBE.

Summary:
The value obtained for the density of states at the Fermi level is 6.00 states/eV/cell. The calculation puts the energy relative to the elements at 0.08 eV per atom. The calculation puts the raw total energy at -3.67 eV per atom.

Unit cell a=4.946 b=4.946 c=4.946 alpha=131.27 beta=131.27 gamma=71.38
Site moments in Bohr magnetons follow the coordinates.
Element x y z (fractional)
Co 0.500 0.500 0.000  1.57
Pt 0.750 0.250 0.500  0.08
Cd 0.000 0.000 0.000  -0.02
Cd 0.250 0.750 0.500  -0.02

***

(5)
This record from the Alexandria database describes a relaxed structure of Cd3CoPt12. The functional is PBE.

Summary:
The value obtained for the density of states at the Fermi level is 18.20 states/eV/cell. The calculation puts the energy relative to the elements at -0.16 eV per atom. The calculation puts the raw total energy at -5.31 eV per atom.

Unit cell a=4.000 b=4.000 c=16.031 alpha=90.00 beta=90.00 gamma=90.00
Site moments in Bohr magnetons follow the coordinates.
Element x y z (fractional)
Pt 0.000 0.500 0.372  0.00
Cd 0.000 0.000 0.755  0.01
Pt 0.500 0.000 0.884  -0.21
Pt 0.500 0.500 0.244  -0.04
Pt 0.500 0.000 0.116  -0.21
Pt 0.000 0.500 0.884  -0.21
Pt 0.500 0.000 0.372  0.00
Pt 0.500 0.500 0.500  0.00
Co 0.000 0.000 0.000  -2.09
Cd 0.000 0.000 0.245  0.01
Pt 0.500 0.500 0.000  -0.26
Cd 0.000 0.000 0.500  0.00
Pt 0.500 0.000 0.628  0.00
Pt 0.000 0.500 0.116  -0.21
Pt 0.500 0.500 0.756  -0.04
Pt 0.000 0.500 0.628  0.00

***

(6)
This record from the Alexandria database describes a relaxed structure of CdCo2Pt. The functional is PBE.

Summary:
The value obtained for the density of states at the Fermi level is 4.59 states/eV/cell. The calculation puts the energy relative to the elements at 0.19 eV per atom. The calculation puts the raw total energy at -5.10 eV per atom.

Unit cell a=9.013 b=9.013 c=9.013 alpha=17.58 beta=17.58 gamma=17.58
Site moments in Bohr magnetons follow the coordinates.
Element x y z (fractional)
Pt 0.250 0.250 0.250  0.29
Cd 0.750 0.750 0.750  -0.01
Co 0.996 0.996 0.996  1.77
Co 0.504 0.504 0.504  1.77

***

(7)
This record from the Alexandria database describes a relaxed structure of CdCo2Pt. The functional is PBE.

Summary:
The value obtained for the density of states at the Fermi level is 5.86 states/eV/cell. The calculation puts the energy relative to the elements at 0.13 eV per atom. The calculation puts the raw total energy at -5.17 eV per atom.

Unit cell a=4.747 b=4.747 c=4.747 alpha=132.08 beta=132.08 gamma=70.10
Site moments in Bohr magnetons follow the coordinates.
Element x y z (fractional)
Co 0.250 0.750 0.500  1.82
Co 0.000 0.000 0.000  1.70
Cd 0.750 0.250 0.500  -0.03
Pt 0.500 0.500 0.000  0.21

***

(8)
This record from the Alexandria database describes a relaxed structure of Cd2CoPt. The functional is PBE.

Summary:
The value obtained for the density of states at the Fermi level is 3.60 states/eV/cell. The calculation puts the energy relative to the elements at 0.12 eV per atom. The calculation puts the raw total energy at -3.63 eV per atom.

Unit cell a=9.257 b=9.257 c=9.257 alpha=18.12 beta=18.12 gamma=18.12
Site moments in Bohr magnetons follow the coordinates.
Element x y z (fractional)
Cd 0.503 0.503 0.503  -0.01
Cd 0.997 0.997 0.997  -0.01
Co 0.250 0.250 0.250  1.67
Pt 0.750 0.750 0.750  0.04

***

(9)
This record from the Alexandria database describes a relaxed structure of Cd2CoPt. The functional is PBE.

Summary:
The value obtained for the density of states at the Fermi level is 4.34 states/eV/cell. The calculation puts the energy relative to the elements at 0.04 eV per atom. The calculation puts the raw total energy at -3.70 eV per atom.

Unit cell a=4.895 b=4.895 c=4.895 alpha=130.34 beta=130.28 gamma=72.92
Site moments in Bohr magnetons follow the coordinates.
Element x y z (fractional)
Pt 0.250 0.750 0.500  0.00
Cd 0.000 0.000 0.000  -0.02
Cd 0.500 0.500 0.000  -0.02
Co 0.750 0.250 0.500  1.32

***

(10)
This record from the Alexandria database describes a relaxed structure of CdCoPt4. The functional is PBE.

Summary:
The value obtained for the offset from the most stable computed form is 0.000 eV per atom. The value obtained for the density of states at the Fermi level is 4.19 states/eV/cell. The calculation puts the energy relative to the elements at -0.15 eV per atom. The calculation puts the raw total energy at -5.51 eV per atom.

Unit cell a=2.799 b=2.799 c=11.868 alpha=90.00 beta=90.00 gamma=90.00
Site moments in Bohr magnetons follow the coordinates.
Element x y z (fractional)
Pt 0.000 0.000 0.352  0.31
Pt 0.500 0.500 0.179  0.06
Pt 0.000 0.000 0.648  0.31
Cd 0.000 0.000 0.000  0.00
Pt 0.500 0.500 0.821  0.06
Co 0.500 0.500 0.500  2.02

***

(11)
This record from the Alexandria database describes a relaxed structure of Cd3CoPt. The functional is PBE.

Summary:
The value obtained for the offset from the most stable computed form is 0.000 eV per atom. The value obtained for the density of states at the Fermi level is 5.22 states/eV/cell. The calculation puts the energy relative to the elements at 0.69 eV per atom. The calculation puts the raw total energy at -2.49 eV per atom.

Unit cell a=5.173 b=5.173 c=5.173 alpha=90.00 beta=90.00 gamma=90.00
Site moments in Bohr magnetons follow the coordinates.
Element x y z (fractional)
Cd 0.000 0.000 0.500  0.01
Cd 0.500 0.000 0.000  0.01
Pt 0.000 0.000 0.000  0.01
Cd 0.000 0.500 0.000  0.00
Co 0.500 0.500 0.500  2.18

***

(12)
This record from the Alexandria database describes a relaxed structure of CdCo2Pt. The functional is PBE.

Summary:
The value obtained for the density of states at the Fermi level is 5.47 states/eV/cell. The calculation puts the energy relative to the elements at 0.11 eV per atom. The calculation puts the raw total energy at -5.18 eV per atom.

Unit cell a=4.852 b=4.852 c=4.614 alpha=73.90 beta=73.90 gamma=33.67
Site moments in Bohr magnetons follow the coordinates.
Element x y z (fractional)
Cd 0.259 0.259 0.231  -0.03
Co 0.023 0.023 0.987  1.77
Pt 0.485 0.485 0.532  0.29
Co 0.734 0.734 0.750  1.69

***

(13)
This record from the Alexandria database describes a relaxed structure of Cd2CoPt. The functional is PBE.

Summary:
The value obtained for the density of states at the Fermi level is 4.63 states/eV/cell. The calculation puts the energy relative to the elements at 0.05 eV per atom. The calculation puts the raw total energy at -3.70 eV per atom.

Unit cell a=2.916 b=3.885 c=5.874 alpha=90.00 beta=90.00 gamma=90.00
Site moments in Bohr magnetons follow the coordinates.
Element x y z (fractional)
Cd 0.000 0.000 0.492  -0.02
Pt 0.500 0.500 0.750  -0.01
Co 0.500 0.500 0.250  1.39
Cd 0.000 0.000 0.008  -0.02

***

(14)
This record from the Alexandria database describes a relaxed structure of ScCdCoPt. The functional is PBE.

Summary:
The value obtained for the density of states at the Fermi level is 2.38 states/eV/cell. The calculation puts the energy relative to the elements at -0.44 eV per atom. The calculation puts the raw total energy at -5.53 eV per atom.

Unit cell a=4.535 b=4.535 c=4.535 alpha=60.00 beta=60.00 gamma=60.00
Site moments in Bohr magnetons follow the coordinates.
Element x y z (fractional)
Sc 0.000 0.000 0.000  -0.14
Cd 0.500 0.500 0.500  -0.03
Co 0.250 0.250 0.250  0.69
Pt 0.750 0.750 0.750  0.02

***

(15)
This record from the Alexandria database describes a relaxed structure of VCdCo2Pt. The functional is PBE.

Summary:
The value obtained for the density of states at the Fermi level is 9.95 states/eV/cell. The calculation puts the energy relative to the elements at 1.39 eV per atom. The calculation puts the raw total energy at -4.66 eV per atom.

Unit cell a=4.616 b=5.001 c=4.616 alpha=90.00 beta=90.00 gamma=90.00
Site moments in Bohr magnetons follow the coordinates.
Element x y z (fractional)
Co 0.500 0.000 0.000  1.73
Cd 0.000 0.500 0.000  0.02
Co 0.000 0.000 0.500  2.37
V 0.500 0.500 0.500  -0.38
Pt 0.000 0.000 0.000  0.40

***

Number 1: total magnetic moment 3.6 μB/f.u.. Number 2: total magnetic moment 3.6 μB/f.u.. Number 3: total magnetic moment 3.6 μB/f.u.. Number 4: total magnetic moment 1.6 μB/f.u.. Number 5: total magnetic moment 3.2 μB/f.u.. Number 6: total magnetic moment 3.7 μB/f.u.. Number 7: total magnetic moment 3.6 μB/f.u.. Number 8: total magnetic moment 1.7 μB/f.u.. Number 9: total magnetic moment 1.2 μB/f.u.. Number 10: total magnetic moment 2.7 μB/f.u.. Number 11: total magnetic moment 2.4 μB/f.u.. Number 12: total magnetic moment 3.6 μB/f.u.. Number 13: total magnetic moment 1.3 μB/f.u.. Number 14: total magnetic moment 0.4 μB/f.u.. Number 15: total magnetic moment 4.0 μB/f.u..